Entry 1:
Computed, not measured: an optimized crystal structure of ZrPtPb2 at the PBE-GGA level of DFT.

Cell: 4.2977 4.2977 9.9968 Å, 90.00 90.00 90.00°
Space group I4/mmm (No. 139)
One atom of each set of equivalent atoms:
Zr (0.0000, 0.0000, 0.0000) [2 per cell]
Pt (0.0000, 0.0000, 0.5000) [2 per cell]
Pb (0.0000, 0.5000, 0.2500) [4 per cell]

Calculated values
Energy above the lowest structure with this stoichiometry: 0.362 eV per atom
Raw total energy: -5.52 eV per atom
Formation energy: -15 meV per atom

***

Entry 2:
Computed, not measured: an optimized crystal structure of ZrPtPb2 at the PBE-GGA level of DFT.

Cell: 7.1194 7.1194 7.1194 Å, 90.00 90.00 90.00°
Space group Fm-3m (No. 225)
One atom of each set of equivalent atoms:
Zr (0.0000, 0.0000, 0.0000) [4 per cell]
Pt (0.0000, 0.0000, 0.5000) [4 per cell]
Pb (0.2500, 0.2500, 0.2500) [8 per cell]

Calculated values
Energy above the lowest structure with this stoichiometry: 0.447 eV per atom
Raw total energy: -5.43 eV per atom
Formation energy: 70 meV per atom

***

Entry 3:
Computed, not measured: an optimized crystal structure of ZrPt2Pb at the PBE-GGA level of DFT.

Cell: 4.2755 4.2755 8.3625 Å, 90.00 90.00 90.00°
Space group I-4m2 (No. 119)
One atom of each set of equivalent atoms:
Zr (0.0000, 0.0000, 0.0000) [2 per cell]
Pt (0.0000, 0.0000, 0.5000) [2 per cell]
Pt (0.0000, 0.5000, 0.2500) [2 per cell]
Pb (0.0000, 0.5000, 0.7500) [2 per cell]

Calculated values
Raw total energy: -6.55 eV per atom
Formation energy: -467 meV per atom

***

Entry 4:
Computed, not measured: an optimized crystal structure of Zr2PtPb2 at the PBE-GGA level of DFT.

Cell: 7.1904 7.1904 4.4394 Å, 90.00 90.00 90.00°
Space group P4/mbm (No. 127)
One atom of each set of equivalent atoms:
Zr (0.1629, 0.3371, 0.0000) [4 per cell]
Pt (0.0000, 0.0000, 0.5000) [2 per cell]
Pb (0.1455, 0.6455, 0.5000) [4 per cell]

Calculated values
Energy above the lowest structure with this stoichiometry: 0.099 eV per atom
Raw total energy: -6.19 eV per atom
Formation energy: -75 meV per atom

***

Entry 5:
Computed, not measured: an optimized crystal structure of ZrPt2Pb at the PBE-GGA level of DFT.

Cell: 3.7120 3.7120 22.2792 Å, 90.00 90.00 120.00°
Space group R-3m (No. 166, hexagonal axes)
One atom of each set of equivalent atoms:
Zr (0.0000, 0.0000, 0.0000) [3 per cell]
Pt (0.0000, 0.0000, 0.2572) [6 per cell]
Pb (0.0000, 0.0000, 0.5000) [3 per cell]

Calculated values
Raw total energy: -6.56 eV per atom
Formation energy: -476 meV per atom

***

Entry 6:
Computed, not measured: an optimized crystal structure of ZrPtPb2 at the PBE-GGA level of DFT.

Cell: 4.5160 5.6248 7.2295 Å, 90.00 90.00 90.00°
Space group Cmmm (No. 65)
One atom of each set of equivalent atoms:
Zr (0.0000, 0.0000, 0.0000) [2 per cell]
Pt (0.0000, 0.0000, 0.5000) [2 per cell]
Pb (0.0000, 0.5000, 0.2724) [4 per cell]

Calculated values
Energy above the lowest structure with this stoichiometry: 0.340 eV per atom
Raw total energy: -5.54 eV per atom
Formation energy: -37 meV per atom

***

- What is the formation energy in the third record?
  -467 meV per atom